Run P
# Li3Ga2Cu4

Li3Ga2Cu4 after structural relaxation (PBE, the Alexandria database).

a = 4.168 Å, b = 4.168 Å, c = 7.777 Å
α = 90.01°, β = 90.01°, γ = 59.99°
Element x y z (fractional)
Ga1 0.667 0.667 0.218
Ga2 0.333 0.333 0.782
Li1 0.000 0.000 0.000
Li2 0.333 0.333 0.438
Li3 0.667 0.667 0.562
Cu1 0.667 0.667 0.892
Cu2 0.000 0.000 0.333
Cu3 0.000 0.000 0.667
Cu4 0.333 0.333 0.108

* magnetization: 0.00 μB/f.u.

Run Q
# Li3Ga2Cu4

Li3Ga2Cu4 after structural relaxation (PBE, the Alexandria database).

a = 4.713 Å, b = 4.611 Å, c = 7.905 Å
α = 56.60°, β = 62.35°, γ = 57.40°
Element x y z (fractional)
Ga1 0.930 0.091 0.320
Ga2 0.070 0.909 0.680
Cu1 0.337 0.348 0.994
Cu2 0.248 0.415 0.337
Cu3 0.663 0.652 0.006
Cu4 0.752 0.585 0.663
Li1 0.000 0.000 0.000
Li2 0.416 0.239 0.671
Li3 0.584 0.761 0.329

* magnetization: 0.00 μB/f.u.

Winner for stability: run P

Run P
# LiGaCu3

LiGaCu3 after structural relaxation (PBE, the Alexandria database).

a = 4.421 Å, b = 4.398 Å, c = 7.020 Å
α = 84.98°, β = 72.51°, γ = 76.22°
Element x y z (fractional)
Ga1 0.353 0.345 0.012
Ga2 0.058 0.844 0.603
Cu1 0.757 0.344 0.204
Cu2 0.956 0.344 0.806
Cu3 0.654 0.845 0.409
Cu4 0.252 0.844 0.212
Cu5 0.455 0.845 0.809
Cu6 0.158 0.345 0.404
Li1 0.853 0.844 0.012
Li2 0.558 0.345 0.602

* magnetization: 0.00 μB/f.u.

Run Q
# LiGaCu3

LiGaCu3 after structural relaxation (PBE, the Alexandria database).

a = 4.557 Å, b = 4.557 Å, c = 4.557 Å
α = 90.00°, β = 90.00°, γ = 90.00°
Element x y z (fractional)
Cu1 0.000 0.000 0.500
Cu2 0.000 0.500 0.000
Cu3 0.500 0.000 0.000
Li1 0.500 0.500 0.500
Ga1 0.000 0.000 0.000

* magnetization: 0.00 μB/f.u.

Run R
# LiGaCu3

LiGaCu3 after structural relaxation (PBE, the Alexandria database).

a = 4.259 Å, b = 5.244 Å, c = 6.320 Å
α = 90.00°, β = 70.24°, γ = 90.00°
Element x y z (fractional)
Li1 0.389 0.250 0.720
Li2 0.611 0.750 0.280
Cu1 0.816 0.497 0.869
Cu2 0.004 0.250 0.488
Cu3 0.816 0.003 0.869
Cu4 0.184 0.997 0.131
Cu5 0.184 0.503 0.131
Cu6 0.996 0.750 0.512
Ga1 0.366 0.750 0.768
Ga2 0.634 0.250 0.232

* magnetization: 0.00 μB/f.u.

Winner for stability: run P

Run P
# Li2GaCu4

Li2GaCu4 after structural relaxation (PBE, the Alexandria database).

a = 8.859 Å, b = 5.033 Å, c = 4.996 Å
α = 120.24°, β = 84.92°, γ = 90.00°
Element x y z (fractional)
Cu1 0.750 0.240 0.999
Cu2 0.750 0.237 0.500
Cu3 0.250 0.259 0.999
Cu4 0.250 0.760 0.001
Cu5 0.750 0.735 0.500
Cu6 0.750 0.741 0.001
Cu7 0.250 0.763 0.500
Cu8 0.250 0.265 0.500
Ga1 0.500 0.500 0.000
Ga2 0.000 0.000 0.000
Li1 0.505 0.148 0.300
Li2 0.995 0.348 0.700
Li3 0.005 0.652 0.300
Li4 0.495 0.852 0.700

* magnetization: 0.00 μB/f.u.

Run Q
# Li2GaCu4

Li2GaCu4 after structural relaxation (PBE, the Alexandria database).

a = 2.540 Å, b = 4.255 Å, c = 8.541 Å
α = 104.42°, β = 90.00°, γ = 90.00°
Element x y z (fractional)
Cu1 0.500 0.347 0.694
Cu2 0.000 0.211 0.422
Cu3 0.000 0.789 0.578
Cu4 0.500 0.653 0.306
Li1 0.500 0.075 0.149
Li2 0.500 0.925 0.851
Ga1 0.000 0.500 0.000

* magnetization: 0.00 μB/f.u.

Winner for stability: run Q

Run P
# LiGa2Cu3

LiGa2Cu3 after structural relaxation (PBE, the Alexandria database).

a = 3.960 Å, b = 8.979 Å, c = 5.363 Å
α = 115.97°, β = 90.10°, γ = 102.99°
Element x y z (fractional)
Ga1 0.224 0.447 0.636
Ga2 0.776 0.553 0.364
Ga3 0.527 0.056 0.790
Ga4 0.473 0.944 0.210
Cu1 0.317 0.637 0.143
Cu2 0.683 0.363 0.857
Cu3 0.930 0.860 0.495
Cu4 0.372 0.743 0.670
Cu5 0.070 0.140 0.505
Cu6 0.628 0.257 0.330
Li1 0.855 0.711 0.931
Li2 0.145 0.289 0.069

* magnetization: 0.00 μB/f.u.

Run Q
# LiGa2Cu3

LiGa2Cu3 after structural relaxation (PBE, the Alexandria database).

a = 4.783 Å, b = 4.783 Å, c = 7.297 Å
α = 82.78°, β = 82.78°, γ = 95.62°
Element x y z (fractional)
Li1 0.892 0.108 0.250
Li2 0.108 0.892 0.750
Cu1 0.668 0.825 0.973
Cu2 0.175 0.332 0.527
Cu3 0.825 0.668 0.473
Cu4 0.542 0.458 0.250
Cu5 0.458 0.542 0.750
Cu6 0.332 0.175 0.027
Ga1 0.891 0.351 0.881
Ga2 0.649 0.109 0.619
Ga3 0.351 0.891 0.381
Ga4 0.109 0.649 0.119

* magnetization: 0.00 μB/f.u.

Winner for stability: run P

Run P
# Li2Ga4Cu3

Li2Ga4Cu3 after structural relaxation (PBE, the Alexandria database).

a = 5.311 Å, b = 7.366 Å, c = 7.714 Å
α = 90.00°, β = 110.13°, γ = 90.00°
Element x y z (fractional)
Ga1 0.183 0.750 0.866
Ga2 0.178 0.988 0.356
Ga3 0.683 0.750 0.866
Ga4 0.678 0.512 0.356
Ga5 0.317 0.250 0.134
Ga6 0.322 0.488 0.644
Ga7 0.817 0.250 0.134
Ga8 0.822 0.012 0.644
Cu1 0.507 0.750 0.514
Cu2 0.993 0.250 0.486
Cu3 0.000 0.000 0.000
Cu4 0.500 0.500 0.000
Cu5 0.493 0.250 0.486
Cu6 0.007 0.750 0.514
Li1 0.602 0.895 0.204
Li2 0.102 0.605 0.204
Li3 0.898 0.395 0.796
Li4 0.398 0.105 0.796

* magnetization: 0.00 μB/f.u.

Run Q
# Li2Ga4Cu3

Li2Ga4Cu3 after structural relaxation (PBE, the Alexandria database).

a = 4.046 Å, b = 4.496 Å, c = 7.940 Å
α = 80.19°, β = 90.03°, γ = 63.30°
Element x y z (fractional)
Li1 0.687 0.627 0.233
Li2 0.313 0.373 0.767
Ga1 0.344 0.312 0.110
Ga2 0.028 0.946 0.342
Ga3 0.656 0.688 0.890
Ga4 0.972 0.054 0.658
Cu1 0.000 0.000 0.000
Cu2 0.345 0.312 0.434
Cu3 0.655 0.688 0.566

* magnetization: 0.00 μB/f.u.

Winner for stability: run Q

Run P
# Li2GaCu6

Li2GaCu6 after structural relaxation (PBE, the Alexandria database).

a = 6.461 Å, b = 4.587 Å, c = 4.587 Å
α = 66.55°, β = 76.59°, γ = 76.59°
Element x y z (fractional)
Li1 0.091 0.330 0.330
Li2 0.909 0.670 0.670
Ga1 0.000 0.000 0.000
Cu1 0.521 0.246 0.246
Cu2 0.696 0.210 0.700
Cu3 0.304 0.790 0.300
Cu4 0.304 0.300 0.790
Cu5 0.696 0.700 0.210
Cu6 0.479 0.754 0.754

* magnetization: 0.00 μB/f.u.

Run Q
# Li2GaCu6

Li2GaCu6 after structural relaxation (PBE, the Alexandria database).

a = 3.814 Å, b = 4.393 Å, c = 7.657 Å
α = 103.75°, β = 90.00°, γ = 115.73°
Element x y z (fractional)
Cu1 0.339 0.678 0.946
Cu2 0.993 0.985 0.162
Cu3 0.661 0.322 0.054
Cu4 0.007 0.015 0.838
Cu5 0.339 0.677 0.612
Cu6 0.661 0.323 0.388
Li1 0.678 0.356 0.731
Li2 0.322 0.644 0.269
Ga1 0.000 0.000 0.500

* magnetization: 0.00 μB/f.u.

Winner for stability: run Q

Run P
# LiGa6Cu6

LiGa6Cu6 after structural relaxation (PBE, the Alexandria database).

a = 5.144 Å, b = 6.578 Å, c = 6.578 Å
α = 79.61°, β = 66.99°, γ = 66.99°
Element x y z (fractional)
Ga1 0.322 0.178 0.178
Ga2 0.659 0.341 0.341
Ga3 0.678 0.822 0.822
Ga4 0.341 0.659 0.659
Ga5 0.000 0.655 0.345
Ga6 0.000 0.345 0.655
Cu1 0.000 0.500 0.000
Cu2 0.500 0.758 0.242
Cu3 0.000 0.000 0.500
Cu4 0.500 0.242 0.758
Cu5 0.500 0.000 0.500
Cu6 0.500 0.500 0.000
Li1 0.000 0.000 0.000

* magnetization: 0.00 μB/f.u.

Run Q
# LiGa6Cu6

LiGa6Cu6 after structural relaxation (PBE, the Alexandria database).

a = 5.098 Å, b = 5.098 Å, c = 8.391 Å
α = 90.00°, β = 90.00°, γ = 120.00°
Element x y z (fractional)
Cu1 0.000 0.500 0.247
Cu2 0.000 0.500 0.753
Cu3 0.500 0.500 0.247
Cu4 0.500 0.000 0.247
Cu5 0.500 0.500 0.753
Cu6 0.500 0.000 0.753
Ga1 0.000 0.000 0.345
Ga2 0.000 0.000 0.655
Ga3 0.667 0.333 0.000
Ga4 0.333 0.667 0.500
Ga5 0.333 0.667 0.000
Ga6 0.667 0.333 0.500
Li1 0.000 0.000 0.000

* magnetization: 0.00 μB/f.u.

Winner for stability: run P

Run P
# Mg3GaCu

Mg3GaCu after structural relaxation (PBE, the Alexandria database).

a = 4.890 Å, b = 4.890 Å, c = 4.890 Å
α = 90.00°, β = 90.00°, γ = 90.00°
Element x y z (fractional)
Cu1 0.000 0.000 0.000
Mg1 0.500 0.000 0.000
Mg2 0.000 0.500 0.000
Mg3 0.000 0.000 0.500
Ga1 0.500 0.500 0.500

* magnetization: 0.00 μB/f.u.

Run Q
# Mg3GaCu

Mg3GaCu after structural relaxation (PBE, the Alexandria database).

a = 6.577 Å, b = 6.577 Å, c = 6.382 Å
α = 107.32°, β = 118.45°, γ = 104.41°
Element x y z (fractional)
Mg1 0.223 0.404 0.247
Mg2 0.777 0.596 0.753
Mg3 0.157 0.976 0.753
Mg4 0.843 0.024 0.247
Mg5 0.726 0.449 0.176
Mg6 0.274 0.551 0.824
Cu1 0.629 0.768 0.397
Cu2 0.371 0.232 0.603
Ga1 0.695 0.081 0.776
Ga2 0.305 0.919 0.224

* magnetization: 0.00 μB/f.u.

Run R
# Mg3GaCu

Mg3GaCu after structural relaxation (PBE, the Alexandria database).

a = 5.004 Å, b = 5.004 Å, c = 5.004 Å
α = 90.00°, β = 90.00°, γ = 90.00°
Element x y z (fractional)
Cu1 0.500 0.500 0.500
Mg1 0.000 0.000 0.500
Mg2 0.000 0.500 0.000
Mg3 0.500 0.000 0.000
Ga1 0.000 0.000 0.000

* magnetization: 0.00 μB/f.u.

Winner for stability: run Q